Record 1
Here is an optimized crystal structure of TbMgCoPd from the Alexandria database. Energies are from PBE-GGA.

Calculated values
* E_form: -0.346 eV/atom
* space-group type: F-43m (216)
* ρ: 8.07 g cm⁻³

The structure in extended XYZ format:
```
4
Lattice="-2.525 3.460 -1.842 -3.755 1.601 2.253 0.079 4.236 1.947" Properties=species:S:1:pos:R:3 pbc="T T T"
Co -3.101 4.648 1.179
Mg -4.651 6.973 1.768
Tb -1.550 2.324 0.589
Pd 0.000 0.000 0.000
```

Record 2
Here is an optimized crystal structure of Tb2SmTmS4 from the Alexandria database. Energies are from PBE-GGA.

Calculated values
* E_form (uncorrected): -1987 meV per atom
* space-group type: P2/m (10)
* ρ: 7.42 g cm⁻³

The structure in extended XYZ format:
```
8
Lattice="-3.824 -0.041 -0.701 0.933 -4.791 -4.814 -1.063 -3.051 5.981" Properties=species:S:1:pos:R:3 pbc="T T T"
Tb -2.444 -1.546 2.640
Tb -0.065 -3.921 0.583
Sm -1.446 -2.416 -2.757
Tm 0.000 0.000 0.000
S -1.949 -1.930 -0.039
S -2.006 -5.954 0.505
S -0.569 -3.441 3.308
S 0.439 -4.402 -2.141
```

Record 3
Here is an optimized crystal structure of ZrTcSe2 from the Alexandria database. Energies are from PBE-GGA.

Calculated values
* energy above the lowest structure with this stoichiometry: 5.67 kcal/mol of atoms
* E_form (uncorrected): -380 meV per atom
* space-group type: Fm-3m (225)
* ρ: 8.32 g cm⁻³

The structure in extended XYZ format:
```
4
Lattice="0.000 3.259 3.259 3.259 0.000 3.259 3.259 3.259 0.000" Properties=species:S:1:pos:R:3 pbc="T T T"
Se 1.630 1.630 1.630
Se 4.889 4.889 4.889
Tc 3.259 3.259 3.259
Zr 0.000 0.000 0.000
```